A relaxed structure of Cs3CuAg, computed with PBE.

abc: 6.820 6.820 6.820
angles: 90.00 90.00 90.00
Positions (direct):
Cs1 0.000 0.000 0.500
Cs2 0.000 0.500 0.000
Cs3 0.500 0.000 0.000
Cu1 0.000 0.000 0.000
Ag1 0.500 0.500 0.500

- E (eV/f.u.) = -7.9
- symmetry = No. 221
- energy relative to the lowest polymorph listed for this composition (eV/f.u.) = 0.00
- energy of formation from the pure elements (meV/atom) = 315